1.
An optimized crystal structure of Li4NpPa3Se8, computed with GGA-PBE.

Lattice parameters (Å, degrees): 8.1384 8.1384 8.1384 58.95 58.95 58.95
Last column: nearest neighbours and their distance in Å.
Sites, in units of the cell vectors:
Li (0.0000, 0.0000, 0.0000)  6 Se 2.79
Li (0.0000, 0.5000, 0.5000)  6 Se 2.79-2.81
Li (0.5000, 0.0000, 0.5000)  6 Se 2.79-2.81
Li (0.5000, 0.5000, 0.0000)  6 Se 2.79-2.81
Np (0.5000, 0.5000, 0.5000)  6 Se 2.92
Pa (0.0000, 0.0000, 0.5000)  6 Se 2.90-2.92
Pa (0.0000, 0.5000, 0.0000)  6 Se 2.90-2.92
Pa (0.5000, 0.0000, 0.0000)  6 Se 2.90-2.92
Se (0.2445, 0.2445, 0.7485)  3 Li 2.79-2.81, 2 Pa 2.90, 1 Np 2.92
Se (0.2445, 0.7485, 0.2445)  3 Li 2.79-2.81, 2 Pa 2.90, 1 Np 2.92
Se (0.2515, 0.7555, 0.7555)  3 Li 2.79-2.81, 2 Pa 2.90, 1 Np 2.92
Se (0.2553, 0.2553, 0.2553)  3 Li 2.79, 3 Pa 2.92
Se (0.7447, 0.7447, 0.7447)  3 Li 2.79, 3 Pa 2.92
Se (0.7485, 0.2445, 0.2445)  3 Li 2.79-2.81, 2 Pa 2.90, 1 Np 2.92
Se (0.7555, 0.2515, 0.7555)  3 Li 2.79-2.81, 2 Pa 2.90, 1 Np 2.92
Se (0.7555, 0.7555, 0.2515)  3 Li 2.79-2.81, 2 Pa 2.90, 1 Np 2.92

As for the uncorrected formation energy: -1.261 eV per atom. Its magnetic moment is 9.777 μB/f.u. As for the space group: R-3m (166).

=====

2.
An optimized crystal structure of AlH4, computed with GGA-PBE.

Lattice parameters (Å, degrees): 3.4189 3.4189 3.4189 90.00 90.00 90.00
Last column: nearest neighbours and their distance in Å.
Sites, in units of the cell vectors:
Al (0.0000, 0.0000, 0.0000)  6 H 1.71
H (0.0000, 0.0000, 0.5000)  2 Al 1.71
H (0.0000, 0.5000, 0.0000)  2 Al 1.71
H (0.5000, 0.0000, 0.0000)  2 Al 1.71
H (0.5000, 0.5000, 0.5000)  12 H 2.42

The total DFT energy (no corrections) is -14.864 eV/cell. Its magnetic moment is 1.000 μB/f.u. As for the space group: Pm-3m (221).